[1]
Below is a relaxed structure of Si2PdRu2, with properties calculated at the PBE level.

## Properties
As for the polymorph energy (0 for the lowest one): 163 kJ/mol of formula units. Its crystal system is tetragonal. The total energy comes out at -35.46 eV per formula unit. Its uncorrected formation energy is -174.7 meV per atom.

a b c (Å): 3.548 3.548 11.671
angles (deg): 90.00 90.00 90.00
Space group I4/mmm (No. 139)
Inequivalent atoms, fractional coordinates:
Si1 0.000 0.500 0.250 [4 per cell]
Pd1 0.000 0.000 0.000 [2 per cell]
Ru1 0.000 0.000 0.390 [4 per cell]

=====

[2]
Below is a relaxed structure of SiPdRu, with properties calculated at the PBE level.

## Properties
As for the polymorph energy (0 for the lowest one): 12 kJ/mol of formula units. Its crystal system is tetragonal. The total energy comes out at -21.09 eV per formula unit. Its uncorrected formation energy is -398.3 meV per atom.

a b c (Å): 2.887 2.887 20.658
angles (deg): 90.00 90.00 90.00
Space group I4/mmm (No. 139)
Inequivalent atoms, fractional coordinates:
Si1 0.000 0.000 0.136 [4 per cell]
Pd1 0.000 0.000 0.436 [4 per cell]
Ru1 0.000 0.000 0.297 [4 per cell]

=====

[3]
Below is a relaxed structure of Si2PdRu2, with properties calculated at the PBE level.

## Properties
As for the polymorph energy (0 for the lowest one): 0 kJ/mol of formula units. Its crystal system is tetragonal. The total energy comes out at -37.15 eV per formula unit. Its uncorrected formation energy is -511.7 meV per atom.

a b c (Å): 6.896 6.896 2.861
angles (deg): 90.00 90.00 90.00
Space group P4/mbm (No. 127)
Inequivalent atoms, fractional coordinates:
Si1 0.146 0.354 0.000 [4 per cell]
Pd1 0.000 0.000 0.000 [2 per cell]
Ru1 0.150 0.650 0.500 [4 per cell]

=====

[4]
Below is a relaxed structure of SiTePd2Ru, with properties calculated at the PBE level.

## Properties
Its crystal system is tetragonal. The total energy comes out at -21.60 eV per formula unit. Its uncorrected formation energy is 1325.4 meV per atom.

a b c (Å): 4.870 4.870 5.175
angles (deg): 90.00 90.00 90.00
Space group P4/mmm (No. 123)
Inequivalent atoms, fractional coordinates:
Si1 0.000 0.000 0.000 [1 per cell]
Te1 0.000 0.000 0.500 [1 per cell]
Pd1 0.000 0.500 0.500 [2 per cell]
Ru1 0.500 0.500 0.000 [1 per cell]

=====

[5]
Below is a relaxed structure of USi2PdRu, with properties calculated at the PBE level.

## Properties
Its crystal system is tetragonal. The total energy comes out at -39.64 eV per formula unit. Its uncorrected formation energy is -607.6 meV per atom.

a b c (Å): 4.036 4.036 10.182
angles (deg): 90.00 90.00 90.00
Space group I-4m2 (No. 119)
Inequivalent atoms, fractional coordinates:
U1 0.000 0.000 0.000 [2 per cell]
Si1 0.000 0.000 0.384 [4 per cell]
Pd1 0.000 0.500 0.250 [2 per cell]
Ru1 0.000 0.500 0.750 [2 per cell]

=====

[6]
Below is a relaxed structure of Sm6PdRu2, with properties calculated at the PBE level.

## Properties
As for the polymorph energy (0 for the lowest one): 0 kJ/mol of formula units. For the calculated formation energy, the calculation gives -339 meV/atom. Its crystal system is orthorhombic. The total energy comes out at -55.11 eV per formula unit.

a b c (Å): 9.609 9.663 10.217
angles (deg): 90.00 90.00 90.00
Space group Immm (No. 71)
Inequivalent atoms, fractional coordinates:
Sm1 0.000 0.190 0.243 [8 per cell]
Sm2 0.185 0.500 0.171 [8 per cell]
Sm3 0.223 0.321 0.500 [8 per cell]
Pd1 0.000 0.000 0.000 [2 per cell]
Pd2 0.000 0.000 0.500 [2 per cell]
Ru1 0.000 0.324 0.000 [4 per cell]
Ru2 0.000 0.500 0.376 [4 per cell]

=====

[7]
Below is a relaxed structure of Sm3Pd2Ru, with properties calculated at the PBE level.

## Properties
For the calculated formation energy, the calculation gives -619 meV/atom. Its crystal system is monoclinic. The total energy comes out at -37.53 eV per formula unit.

a b c (Å): 4.992 7.176 7.852
angles (deg): 90.00 108.33 90.00
Space group P2/m (No. 10)
Inequivalent atoms, fractional coordinates:
Sm1 0.000 0.244 0.000 [2 per cell]
Sm2 0.331 0.241 0.661 [4 per cell]
Pd1 0.166 0.500 0.332 [2 per cell]
Pd2 0.500 0.000 0.000 [1 per cell]
Pd3 0.500 0.500 0.000 [1 per cell]
Ru1 0.166 0.000 0.332 [2 per cell]

=====

[8]
Below is a relaxed structure of Sm6PdRu2, with properties calculated at the PBE level.

## Properties
As for the polymorph energy (0 for the lowest one): 45 kJ/mol of formula units. For the calculated formation energy, the calculation gives -287 meV/atom. Its crystal system is monoclinic. The total energy comes out at -54.64 eV per formula unit.

a b c (Å): 6.755 7.464 11.854
angles (deg): 90.00 123.84 90.00
Space group P2_1/c (No. 14)
Inequivalent atoms, fractional coordinates:
Sm1 0.073 0.060 0.240 [4 per cell]
Sm2 0.231 0.676 0.078 [4 per cell]
Sm3 0.390 0.166 0.071 [4 per cell]
Pd1 0.500 0.000 0.500 [2 per cell]
Ru1 0.298 0.112 0.761 [4 per cell]

=====

[9]
Below is a relaxed structure of Sm4PdRu2, with properties calculated at the PBE level.

## Properties
As for the polymorph energy (0 for the lowest one): 0 kJ/mol of formula units. For the calculated formation energy, the calculation gives -379 meV/atom. Its crystal system is trigonal. The total energy comes out at -45.27 eV per formula unit.

a b c (Å): 4.9285 4.9285 24.0836
angles (deg): 90.00 90.00 120.00
Space group R-3m (No. 166, hexagonal axes)
Inequivalent atoms, fractional coordinates:
Sm1 0.0000 0.0000 0.1221 [6 per cell]
Sm2 0.0000 0.0000 0.3726 [6 per cell]
Pd1 0.0000 0.0000 0.5000 [3 per cell]
Ru1 0.0000 0.0000 0.2489 [6 per cell]

=====

[10]
Below is a relaxed structure of Sm4PdRu2, with properties calculated at the PBE level.

## Properties
As for the polymorph energy (0 for the lowest one): 8 kJ/mol of formula units. For the calculated formation energy, the calculation gives -367 meV/atom. Its crystal system is monoclinic. The total energy comes out at -45.19 eV per formula unit.

a b c (Å): 8.885 13.096 6.866
angles (deg): 90.00 122.69 90.00
Space group Cc (No. 9)
Inequivalent atoms, fractional coordinates:
Sm1 0.000 0.029 0.000 [4 per cell]
Sm2 0.099 0.423 0.461 [4 per cell]
Sm3 0.196 0.194 0.763 [4 per cell]
Sm4 0.361 0.192 0.382 [4 per cell]
Pd1 0.264 0.375 0.029 [4 per cell]
Ru1 0.315 0.007 0.022 [4 per cell]
Ru2 0.486 0.320 0.786 [4 per cell]

=====

[11]
Below is a relaxed structure of Sm2PdRu, with properties calculated at the PBE level.

## Properties
For the calculated formation energy, the calculation gives -541 meV/atom. Its crystal system is tetragonal. The total energy comes out at -26.07 eV per formula unit.

a b c (Å): 3.483 3.483 7.229
angles (deg): 90.00 90.00 90.00
Space group P4/mmm (No. 123)
Inequivalent atoms, fractional coordinates:
Sm1 0.000 0.000 0.239 [2 per cell]
Pd1 0.500 0.500 0.500 [1 per cell]
Ru1 0.500 0.500 0.000 [1 per cell]

=====

[12]
Below is a relaxed structure of Sm2PdRu, with properties calculated at the PBE level.

## Properties
For the calculated formation energy, the calculation gives -506 meV/atom. Its crystal system is cubic. The total energy comes out at -25.93 eV per formula unit.

a b c (Å): 7.046 7.046 7.046
angles (deg): 90.00 90.00 90.00
Space group Fm-3m (No. 225)
Inequivalent atoms, fractional coordinates:
Sm1 0.250 0.250 0.250 [8 per cell]
Pd1 0.000 0.000 0.000 [4 per cell]
Ru1 0.000 0.000 0.500 [4 per cell]

=====

Magnetization list, top to bottom, in μB/f.u.: 0.00 0.00 0.00 2.34 2.20 0.00 0.00 0.00 0.00 0.00 0.00 0.00